Li2Bi2Ir | SCAN | single point on PBEsol structure

CIF file:
```
data_Li2Bi2Ir
_space_group_name_H-M_alt 'P 4/m b m'
_space_group_IT_number 127
_space_group_name_Hall '-P 4 2ab'
_cell_length_a 6.964
_cell_length_b 6.964
_cell_length_c 4.599
_cell_angle_alpha 90.00
_cell_angle_beta 90.00
_cell_angle_gamma 90.00
loop_
_atom_site_label
_atom_site_type_symbol
_atom_site_fract_x
_atom_site_fract_y
_atom_site_fract_z
_atom_site_occupancy
Li1 Li 0.166 0.334 0.000 1
Bi1 Bi 0.151 0.651 0.500 1
Ir1 Ir 0.000 0.000 0.500 1
```

=====

MgBi3Ir | SCAN | single point on PBEsol structure

CIF file:
```
data_MgBi3Ir
_space_group_name_H-M_alt 'P m -3 m'
_space_group_IT_number 221
_space_group_name_Hall '-P 4 2 3'
_cell_length_a 5.351
_cell_length_b 5.351
_cell_length_c 5.351
_cell_angle_alpha 90.00
_cell_angle_beta 90.00
_cell_angle_gamma 90.00
loop_
_atom_site_label
_atom_site_type_symbol
_atom_site_fract_x
_atom_site_fract_y
_atom_site_fract_z
_atom_site_occupancy
Mg1 Mg 0.000 0.000 0.000 1
Bi1 Bi 0.000 0.500 0.500 1
Ir1 Ir 0.500 0.500 0.500 1
```

=====

MnBi3Ir | SCAN | single point on PBEsol structure

CIF file:
```
data_MnBi3Ir
_space_group_name_H-M_alt 'P m -3 m'
_space_group_IT_number 221
_space_group_name_Hall '-P 4 2 3'
_cell_length_a 5.299
_cell_length_b 5.299
_cell_length_c 5.299
_cell_angle_alpha 90.00
_cell_angle_beta 90.00
_cell_angle_gamma 90.00
loop_
_atom_site_label
_atom_site_type_symbol
_atom_site_fract_x
_atom_site_fract_y
_atom_site_fract_z
_atom_site_occupancy
Mn1 Mn 0.000 0.000 0.000 1
Bi1 Bi 0.000 0.500 0.500 1
Ir1 Ir 0.500 0.500 0.500 1
```

=====

BiIrN2 | SCAN | single point on PBEsol structure

CIF file:
```
data_BiIrN2
_space_group_name_H-M_alt 'R -3 m'
_space_group_IT_number 166
_space_group_name_Hall '-R 3 2"'
_cell_length_a 3.2212
_cell_length_b 3.2212
_cell_length_c 19.5193
_cell_angle_alpha 90.00
_cell_angle_beta 90.00
_cell_angle_gamma 120.00
loop_
_atom_site_label
_atom_site_type_symbol
_atom_site_fract_x
_atom_site_fract_y
_atom_site_fract_z
_atom_site_occupancy
Bi1 Bi 0.0000 0.0000 0.0000 1
Ir1 Ir 0.0000 0.0000 0.5000 1
N1 N 0.0000 0.0000 0.1214 1
```

=====

BiIrN3 | SCAN | single point on PBEsol structure

CIF file:
```
data_BiIrN3
_space_group_name_H-M_alt 'P m -3 m'
_space_group_IT_number 221
_space_group_name_Hall '-P 4 2 3'
_cell_length_a 3.923
_cell_length_b 3.923
_cell_length_c 3.923
_cell_angle_alpha 90.00
_cell_angle_beta 90.00
_cell_angle_gamma 90.00
loop_
_atom_site_label
_atom_site_type_symbol
_atom_site_fract_x
_atom_site_fract_y
_atom_site_fract_z
_atom_site_occupancy
Bi1 Bi 0.000 0.000 0.000 1
Ir1 Ir 0.500 0.500 0.500 1
N1 N 0.000 0.500 0.500 1
```

=====

BiIr2N | SCAN | single point on PBEsol structure

CIF file:
```
data_BiIr2N
_space_group_name_H-M_alt 'F m -3 m'
_space_group_IT_number 225
_space_group_name_Hall '-F 4 2 3'
_cell_length_a 6.218
_cell_length_b 6.218
_cell_length_c 6.218
_cell_angle_alpha 90.00
_cell_angle_beta 90.00
_cell_angle_gamma 90.00
loop_
_atom_site_label
_atom_site_type_symbol
_atom_site_fract_x
_atom_site_fract_y
_atom_site_fract_z
_atom_site_occupancy
Bi1 Bi 0.000 0.000 0.000 1
Ir1 Ir 0.250 0.250 0.250 1
N1 N 0.000 0.000 0.500 1
```

=====

BiIrN3 | SCAN | single point on PBEsol structure

CIF file:
```
data_BiIrN3
_space_group_name_H-M_alt 'P m -3 m'
_space_group_IT_number 221
_space_group_name_Hall '-P 4 2 3'
_cell_length_a 4.162
_cell_length_b 4.162
_cell_length_c 4.162
_cell_angle_alpha 90.00
_cell_angle_beta 90.00
_cell_angle_gamma 90.00
loop_
_atom_site_label
_atom_site_type_symbol
_atom_site_fract_x
_atom_site_fract_y
_atom_site_fract_z
_atom_site_occupancy
Bi1 Bi 0.000 0.000 0.000 1
Ir1 Ir 0.500 0.500 0.500 1
N1 N 0.000 0.000 0.500 1
```

=====

BiIrN2 | SCAN | single point on PBEsol structure

CIF file:
```
data_BiIrN2
_space_group_name_H-M_alt 'R -3 m'
_space_group_IT_number 166
_space_group_name_Hall '-R 3 2"'
_cell_length_a 3.3670
_cell_length_b 3.3670
_cell_length_c 19.1990
_cell_angle_alpha 90.00
_cell_angle_beta 90.00
_cell_angle_gamma 120.00
loop_
_atom_site_label
_atom_site_type_symbol
_atom_site_fract_x
_atom_site_fract_y
_atom_site_fract_z
_atom_site_occupancy
Bi1 Bi 0.0000 0.0000 0.0000 1
Ir1 Ir 0.0000 0.0000 0.5000 1
N1 N 0.0000 0.0000 0.4030 1
```

=====

Which energy belongs to each record? In order, -1.718, -2.272, -2.362, -1.520, -1.260, -2.052, -1.193, -1.504 Ha/atom.